[1]
BaCo2Cl6 | GGA-PBE | relaxed

Geometry as POSCAR:
```
BaCo2Cl6
1.0
6.923 -6.101 0.000
6.923 6.101 0.000
-2.421 0.000 6.604
Ba Co Cl
2 4 12
direct
0.155 0.845 0.750
0.845 0.155 0.250
0.235 0.369 0.788
0.369 0.235 0.288
0.631 0.765 0.712
0.765 0.631 0.212
0.071 0.184 0.669
0.141 0.590 0.942
0.184 0.071 0.169
0.292 0.429 0.520
0.410 0.859 0.558
0.429 0.292 0.020
0.571 0.708 0.980
0.590 0.141 0.442
0.708 0.571 0.480
0.816 0.929 0.831
0.859 0.410 0.058
0.929 0.816 0.331
```

Properties
Space group   C2/c
Electronic total energy   -75.7 eV per cell
Formation energy (no corrections)   -1182 meV/atom

=====

[2]
BaCoCl2 | GGA-PBE | relaxed

Geometry as POSCAR:
```
BaCoCl2
1.0
0.000 3.750 3.750
3.750 0.000 3.750
3.750 3.750 0.000
Ba Co Cl
1 1 2
direct
0.000 0.000 0.000
0.500 0.500 0.500
0.250 0.250 0.250
0.750 0.750 0.750
```

Properties
Space group   Fm-3m
DOS at the Fermi energy   14.63 states/eV/cell
Electronic total energy   -15.5 eV per cell
Energy above the lowest structure with this stoichiometry   1.244 eV/f.u.
Formation energy (no corrections)   -704 meV/atom

=====

[3]
Ba4CoCl | GGA-PBE | relaxed

Geometry as POSCAR:
```
Ba4CoCl
1.0
0.000 5.181 5.181
5.181 0.000 5.181
5.181 5.181 0.000
Ba Co Cl
4 1 1
direct
0.376 0.376 0.376
0.376 0.376 0.873
0.376 0.873 0.376
0.873 0.376 0.376
0.750 0.750 0.750
0.000 0.000 0.000
```

Properties
Space group   F-43m
DOS at the Fermi energy   8.86 states/eV/cell
Electronic total energy   -13.3 eV per cell
Formation energy (no corrections)   562 meV/atom